# GGA+U SrPWO2, relaxed
data_SrPWO2
_chemical_formula_sum 'Sr1 P1 W1 O2'
_symmetry_space_group_name_H-M 'P 1'
_symmetry_Int_Tables_number 1
_cell_length_a 4.083
_cell_length_b 4.083
_cell_length_c 4.949
_cell_angle_alpha 90.00
_cell_angle_beta 90.00
_cell_angle_gamma 90.00
loop_
_symmetry_equiv_pos_as_xyz
'x,y,z'
loop_
_atom_site_label
_atom_site_type_symbol
_atom_site_fract_x
_atom_site_fract_y
_atom_site_fract_z
Sr1 Sr 0.000 0.000 0.000
P1 P 0.500 0.500 0.000
W1 W 0.500 0.500 0.500
O1 O 0.000 0.500 0.500
O2 O 0.500 0.000 0.500
# Final energy   -6.26 eV/atom
# Symmetry   P4/mmm
# Size of the total moment   0.865 μB per cell
# ρ   6.7 Mg/m³